This record from Alexandria via LeMat-Bulk describes crystalline Zr2Ga3Tc at its relaxed geometry. The functional is PBE-GGA.

The total magnetic moment is 0.000 μB per atom. The calculation puts the formation enthalpy at 0 K at -0.497 eV per atom. The volume comes out at 17.3 Å³ per atom. Its polymorph energy (0 for the lowest one) is 0 meV/atom.

The space group is R-3m (No. 166, hexagonal axes) and the conventional cell measures 5.2902, 5.2902 and 12.8191 Å, with angles of 90.00, 90.00 and 120.00 degrees. The distinct sites, in fractional coordinates, are Zr at (0.0000, 0.0000, 0.1300), Ga at (0.0000, 0.5000, 0.0000) and Tc at (0.0000, 0.0000, 0.5000).